(1)
RbTlSe2: relaxed, PBE.

Unit cell a=11.8922 b=5.3822 c=9.3161 alpha=90.00 beta=90.00 gamma=90.00
Positions (direct):
Rb 0.0000 0.2500 0.2494
Rb 0.0000 0.7500 0.7506
Rb 0.5000 0.2500 0.2506
Rb 0.5000 0.7500 0.7494
Tl 0.2493 0.2500 0.5835
Tl 0.2507 0.7500 0.0835
Tl 0.7493 0.2500 0.9165
Tl 0.7507 0.7500 0.4165
Se 0.1482 0.7500 0.4167
Se 0.1495 0.2500 0.9165
Se 0.3505 0.7500 0.4165
Se 0.3518 0.2500 0.9167
Se 0.6482 0.7500 0.0833
Se 0.6495 0.2500 0.5835
Se 0.8505 0.7500 0.0835
Se 0.8518 0.2500 0.5833

space group = Pnma (62)
DOS at the Fermi energy = 0.00 states/eV/f.u.
excess energy over the best structure of this formula in the dataset = 0.0394 eV per atom

=====

(2)
Rb2InSe2: relaxed, PBE.

Unit cell a=8.2897 b=8.2897 c=5.0675 alpha=90.00 beta=90.00 gamma=90.00
Positions (direct):
Rb 0.1382 0.3618 0.0000
Rb 0.3618 0.8618 0.0000
Rb 0.6382 0.1382 0.0000
Rb 0.8618 0.6382 0.0000
In 0.0000 0.0000 0.5000
In 0.5000 0.5000 0.5000
Se 0.1826 0.6826 0.5000
Se 0.3174 0.1826 0.5000
Se 0.6826 0.8174 0.5000
Se 0.8174 0.3174 0.5000

space group = P4/mbm (127)
DOS at the Fermi energy = 2.66 states/eV/f.u.
excess energy over the best structure of this formula in the dataset = 0.2149 eV per atom